Record 1
The following is a PBE-GGA calculation of SrAc2NdS4 after structural relaxation, from Alexandria via LeMat-Bulk.

Calculated values
Crystal system: monoclinic
ρ (Mg/m³): 6.30
Total DFT energy (no corrections) (eV/atom): -5.91
D(E_F) (states/eV/f.u.): 3.44

Cell lengths 7.3360, 4.2146, 7.3539 Å; angles 90.00, 109.19, 90.00 degrees
With the nearest neighbours (Å) after each atom.
Atoms (fractional coordinates):
Sr 0.0000 0.0000 0.0000  6 S 2.96-2.97
Ac 0.5000 0.0000 0.5000  6 S 3.02-3.03
Ac 0.5000 0.5000 0.0000  6 S 3.05
Nd 0.0000 0.5000 0.5000  6 S 2.94
S 0.2375 0.0000 0.7433  2 Nd 2.94, 1 Sr 2.96, 3 Ac 3.03-3.05
S 0.2408 0.5000 0.2506  1 Nd 2.94, 2 Sr 2.97, 3 Ac 3.02-3.05
S 0.7592 0.5000 0.7494  1 Nd 2.94, 2 Sr 2.97, 3 Ac 3.02-3.05
S 0.7625 0.0000 0.2567  2 Nd 2.94, 1 Sr 2.96, 3 Ac 3.03-3.05

Record 2
The following is a PBE-GGA calculation of Sr2AcNdS4 after structural relaxation, from Alexandria via LeMat-Bulk.

Calculated values
Crystal system: monoclinic
ρ (Mg/m³): 5.23
Total DFT energy (no corrections) (eV/atom): -5.63
D(E_F) (states/eV/f.u.): 3.59

Cell lengths 7.2806, 4.2066, 7.3994 Å; angles 90.00, 109.12, 90.00 degrees
With the nearest neighbours (Å) after each atom.
Atoms (fractional coordinates):
Sr 0.0000 0.0000 0.0000  6 S 3.03-3.04
Sr 0.5000 0.5000 0.0000  6 S 2.97
Ac 0.0000 0.5000 0.5000  6 S 3.01
Nd 0.5000 0.0000 0.5000  6 S 2.95
S 0.2570 0.0000 0.7494  1 Nd 2.95, 3 Sr 2.97-3.04, 2 Ac 3.01
S 0.2584 0.5000 0.2556  2 Nd 2.95, 3 Sr 2.97-3.03, 1 Ac 3.01
S 0.7416 0.5000 0.7444  2 Nd 2.95, 3 Sr 2.97-3.03, 1 Ac 3.01
S 0.7430 0.0000 0.2506  1 Nd 2.95, 3 Sr 2.97-3.04, 2 Ac 3.01

Record 3
The following is a PBE-GGA calculation of SrAc3Nd2S6 after structural relaxation, from Alexandria via LeMat-Bulk.

Calculated values
Crystal system: monoclinic
ρ (Mg/m³): 6.52
Total DFT energy (no corrections) (eV/atom): -6.04
D(E_F) (states/eV/f.u.): 5.93

Cell lengths 7.3029, 7.3029, 7.3062 Å; angles 99.53, 99.53, 120.02 degrees
With the nearest neighbours (Å) after each atom.
Atoms (fractional coordinates):
Sr 0.0000 0.0000 0.0000  6 S 2.94-2.96
Ac 0.1656 0.8344 0.5000  6 S 3.02-3.04
Ac 0.5000 0.5000 0.5000  6 S 3.02-3.04
Ac 0.8344 0.1656 0.5000  6 S 3.02-3.04
Nd 0.3330 0.6670 0.0000  6 S 2.92-2.93
Nd 0.6670 0.3330 0.0000  6 S 2.92-2.93
S 0.0795 0.4159 0.2387  2 Nd 2.93, 1 Sr 2.96, 3 Ac 3.02-3.04
S 0.2579 0.2579 0.7643  2 Nd 2.92, 1 Sr 2.94, 3 Ac 3.02-3.04
S 0.4159 0.0795 0.2387  2 Nd 2.93, 1 Sr 2.96, 3 Ac 3.02-3.04
S 0.5841 0.9205 0.7613  2 Nd 2.93, 1 Sr 2.96, 3 Ac 3.02-3.04
S 0.7421 0.7421 0.2357  2 Nd 2.92, 1 Sr 2.94, 3 Ac 3.02-3.04
S 0.9205 0.5841 0.7613  2 Nd 2.93, 1 Sr 2.96, 3 Ac 3.02-3.04

Record 4
The following is a PBE-GGA calculation of AcTb2Nd3S6 after structural relaxation, from Alexandria via LeMat-Bulk.

Calculated values
Crystal system: monoclinic
ρ (Mg/m³): 6.82
Total DFT energy (no corrections) (eV/atom): -6.37
D(E_F) (states/eV/f.u.): 5.08

Cell lengths 7.0504, 7.0504, 7.0376 Å; angles 99.66, 99.66, 120.10 degrees
With the nearest neighbours (Å) after each atom.
Atoms (fractional coordinates):
Ac 0.0000 0.0000 0.0000  6 S 2.94-2.95
Tb 0.3330 0.6670 0.0000  6 S 2.80-2.82
Tb 0.6670 0.3330 0.0000  6 S 2.80-2.82
Nd 0.1612 0.8388 0.5000  6 S 2.84-2.94
Nd 0.5000 0.5000 0.5000  6 S 2.82-2.93
Nd 0.8388 0.1612 0.5000  6 S 2.84-2.94
S 0.0825 0.4313 0.2473  2 Tb 2.82, 3 Nd 2.84-2.94, 1 Ac 2.95
S 0.2688 0.2688 0.7589  2 Tb 2.80, 3 Nd 2.82-2.91, 1 Ac 2.94
S 0.4313 0.0825 0.2473  2 Tb 2.82, 3 Nd 2.84-2.94, 1 Ac 2.95
S 0.5687 0.9175 0.7527  2 Tb 2.82, 3 Nd 2.84-2.94, 1 Ac 2.95
S 0.7312 0.7312 0.2411  2 Tb 2.80, 3 Nd 2.82-2.91, 1 Ac 2.94
S 0.9175 0.5687 0.7527  2 Tb 2.82, 3 Nd 2.84-2.94, 1 Ac 2.95